Computed, not measured: MnNiH2N after structural relaxation at the PBE level of DFT.

Cell lengths 3.171, 3.171, 3.624 Å; angles 90.00, 90.00, 90.00 degrees
Space group P4/mmm (No. 123)
Asymmetric unit:
Mn  0.000  0.000  0.000
Ni  0.500  0.500  0.500
H  0.000  0.500  0.000
N  0.000  0.000  0.500

Calculated values
Total magnetization in μB per cell: 0.965
Electronic total energy in eV per atom: -5.67



Computed, not measured: Ga3PPb after structural relaxation at the PBE level of DFT.

Cell lengths 4.866, 4.866, 4.866 Å; angles 90.00, 90.00, 90.00 degrees
Space group Pm-3m (No. 221)
Asymmetric unit:
Ga  0.000  0.000  0.500
P  0.000  0.000  0.000
Pb  0.500  0.500  0.500

Calculated values
E_form in eV per atom: 0.2363
Total magnetization in μB per cell: 0.000
Distance to the lowest polymorph of the same formula in eV per atom: 0.000